A geometry-optimized Cr2CuWO8 structure, computed with GGA+U.

Theoretical density, g cm⁻³: 6.19
Uncorrected energy, eV per cell: -84.0

Geometry as CIF:
```
data_Cr2CuWO8
_chemical_formula_sum 'Cr2 Cu1 W1 O8'
_cell_length_a 4.621
_cell_length_b 4.621
_cell_length_c 6.028
_cell_angle_alpha 90.00
_cell_angle_beta 90.00
_cell_angle_gamma 90.74
_space_group_name_H-M_alt 'P 1'
_space_group_IT_number 1
_space_group_name_Hall 'P 1'
loop_
_atom_site_label
_atom_site_fract_x
_atom_site_fract_y
_atom_site_fract_z
Cr1 0.000 0.000 0.243
Cr2 0.000 0.000 0.757
Cu1 0.500 0.500 0.000
W1 0.500 0.500 0.500
O1 0.191 0.191 0.000
O2 0.197 0.197 0.500
O3 0.300 0.700 0.265
O4 0.300 0.700 0.735
O5 0.700 0.300 0.265
O6 0.700 0.300 0.735
O7 0.803 0.803 0.500
O8 0.809 0.809 0.000
```